Below is a relaxed CoRe2SbW crystal, with properties calculated at the PBE-GGA level.

a = 4.7938 Å, b = 4.7938 Å, c = 4.5215 Å
α = 90.00°, β = 90.00°, γ = 90.00°
Last column: nearest neighbours and their distance in Å.
Space group P4/mmm (No. 123)
Symmetry-distinct sites (fractional):
Co 0.0000 0.0000 0.0000 [1 per cell]  2 W 2.26
Re 0.0000 0.5000 0.5000 [2 per cell]  2 W 2.40
Sb 0.5000 0.5000 0.0000 [1 per cell]  8 Re 3.29, 4 Co 3.39
W 0.0000 0.0000 0.5000 [1 per cell]  2 Co 2.26, 4 Re 2.40

- formation energy without anion corrections (kJ/mol of atoms) = 183.0